[1]
DFT (PBE) results for a geometry-optimized KRe3Mo structure.

```
KRe3Mo
1.0
-3.244 -3.588 0.332
3.602 -3.217 0.424
-0.094 0.530 4.818
K Mo Re
1 1 3
Cartesian
0.132 -3.138 2.787 K
0.000 0.000 0.000 Mo
1.801 -1.609 0.212 Re
-0.047 0.265 2.409 Re
-1.622 -1.794 0.166 Re
```

Results
symmetry = Pm-3m
energy of formation = 2171 meV/atom
distance to the lowest polymorph of the same formula = 0 meV per atom


[2]
DFT (PBE) results for a geometry-optimized Mg5InIr structure.

```
Mg5InIr
1.0
5.929 -0.960 0.299
0.971 5.927 0.299
2.690 1.937 9.282
In Ir Mg
2 2 10
Cartesian
3.820 6.225 7.260 In
5.770 0.680 2.619 In
0.000 0.000 0.000 Ir
1.345 0.968 4.641 Ir
5.150 3.822 2.031 Mg
4.190 4.912 4.798 Mg
5.401 1.992 5.081 Mg
2.396 5.365 2.619 Mg
2.987 2.265 3.207 Mg
2.257 3.521 0.440 Mg
6.604 4.639 6.672 Mg
7.333 3.383 9.439 Mg
7.194 1.539 7.260 Mg
4.441 3.082 7.848 Mg
```

Results
symmetry = C2/c
energy of formation = -29 meV/atom
distance to the lowest polymorph of the same formula = 99 meV per atom


[3]
DFT (PBE) results for a geometry-optimized NaLi2NpO4 structure.

```
NaLi2NpO4
1.0
-1.455 -4.112 1.176
2.276 0.307 3.891
-4.111 3.788 -0.518
Li O Np Na
2 4 1 1
Cartesian
-0.712 1.096 2.953 Li
0.000 0.000 0.000 Li
-1.516 -0.921 3.583 O
-4.171 -0.302 2.464 O
-0.984 -1.926 0.727 O
-1.774 0.904 0.966 O
-2.577 -1.114 1.596 Np
0.411 -1.903 2.533 Na
```

Results
symmetry = I-4m2
uncorrected formation energy = -2366 meV per atom


[4]
DFT (PBE) results for a geometry-optimized MgAgAu3 structure.

```
MgAgAu3
1.0
4.850 0.000 -0.111
0.000 7.955 0.000
0.124 0.000 5.407
Au Ag Mg
6 2 2
Cartesian
3.638 0.628 -0.047 Au
1.335 4.606 5.343 Au
3.699 1.989 2.657 Au
1.274 5.966 2.639 Au
3.638 3.349 -0.047 Au
1.335 7.327 5.343 Au
3.731 5.966 4.002 Ag
1.242 1.989 1.294 Ag
1.305 1.989 4.033 Mg
3.668 5.966 1.263 Mg
```

Results
symmetry = Pmmn
energy of formation = -89 meV/atom
distance to the lowest polymorph of the same formula = 62 meV per atom


[5]
DFT (PBE) results for a geometry-optimized LiAgW structure.

```
LiAgW
1.0
4.546 0.000 0.000
-2.273 3.937 0.000
0.000 0.000 2.618
Li W Ag
1 1 1
Cartesian
2.273 1.312 0.436 Li
0.000 2.625 1.745 W
0.000 0.000 0.438 Ag
```

Results
symmetry = P-6m2
energy of formation = 676 meV/atom
distance to the lowest polymorph of the same formula = 278 meV per atom


[6]
DFT (PBE) results for a geometry-optimized ReIrS2Cl structure.

```
ReIrS2Cl
1.0
4.694 0.000 0.000
0.000 4.694 0.000
0.000 0.000 4.689
S Ir Cl Re
2 1 1 1
Cartesian
2.347 0.000 0.000 S
0.000 2.347 0.000 S
0.000 0.000 0.000 Ir
0.000 0.000 2.345 Cl
2.347 2.347 2.345 Re
```

Results
symmetry = P4/mmm
uncorrected formation energy = 1266 meV per atom
distance to the lowest polymorph of the same formula = 104 meV per atom